TmScNiGe after structural relaxation, computed with PBE-GGA.

Properties
Energy relative to the elements, eV per atom: -0.577
Size of the total moment, μB/cell: 0.00

Lattice parameters (Å, degrees): 6.6984 6.6984 6.6984 90.00 90.00 90.00
With the nearest neighbours (Å) after each atom.
Space group F-43m (No. 216)
Asymmetric unit:
Tm  0.0000  0.0000  0.0000 x4  4 Ge 2.90, 4 Ni 2.90
Sc  0.0000  0.0000  0.5000 x4  4 Ge 2.90, 4 Ni 2.90
Ni  0.2500  0.2500  0.2500 x4  4 Tm 2.90, 4 Sc 2.90
Ge  0.2500  0.2500  0.7500 x4  4 Tm 2.90, 4 Sc 2.90



RbLaSnS3 after structural relaxation, computed with PBE-GGA.

Properties
Formation energy from raw total energies, eV/atom: -1.3943
Size of the total moment, μB/cell: 0.00

Lattice parameters (Å, degrees): 8.4946 4.2098 11.8870 90.00 106.21 90.00
With the nearest neighbours (Å) after each atom.
Space group P2_1/m (No. 11)
Asymmetric unit:
Rb  0.2309  0.2500  0.2566 x2  5 S 3.42-3.46
La  0.3490  0.7500  0.8549 x2  6 S 2.85-2.94
Sn  0.1544  0.2500  0.5717 x2  3 S 2.56-2.66
S  0.1010  0.2500  0.7730 x2  1 Sn 2.56
S  0.3542  0.7500  0.6101 x2  2 Sn 2.66, 1 La 2.92
S  0.4116  0.7500  0.1032 x2  3 La 2.85-2.87



Cs2Hg8Bi after structural relaxation, computed with PBE-GGA.

Properties
Energy relative to the elements, eV per atom: -0.147
Size of the total moment, μB/cell: 0.00

Lattice parameters (Å, degrees): 5.4215 5.4215 14.5626 90.00 90.00 90.00
With the nearest neighbours (Å) after each atom.
Space group P4/mmm (No. 123)
Asymmetric unit:
Cs  0.0000  0.0000  0.1973 x2  12 Hg 3.83-3.98
Hg  0.0000  0.5000  0.0000 x2  4 Hg 3.83, 4 Cs 3.95
Hg  0.0000  0.5000  0.3827 x4  3 Hg 3.17-3.42, 2 Bi 3.20
Hg  0.5000  0.5000  0.2701 x2  4 Hg 3.17
Bi  0.0000  0.0000  0.5000 x1  8 Hg 3.20



Mg6MnZn after structural relaxation, computed with PBE-GGA.

Properties
Energy relative to the elements, eV per atom: 0.081
Energy relative to the lowest polymorph listed for this composition, eV per formula unit: 0.000
Size of the total moment, μB/cell: 7.17

Lattice parameters (Å, degrees): 4.8999 6.1487 10.6680 90.00 90.00 90.00
With the nearest neighbours (Å) after each atom.
Space group Amm2 (No. 38)
Asymmetric unit:
Mg  0.0000  0.0000  0.0000 x2  10 Mg 3.03-3.10, 2 Zn 3.08
Mg  0.0000  0.2421  0.7453 x4  2 Zn 2.92-3.24, 8 Mg 2.98-3.17, 2 Mn 3.00
Mg  0.5000  0.0000  0.1672 x2  10 Mg 3.03-3.08, 2 Mn 3.07
Mg  0.5000  0.2432  0.4194 x4  2 Mn 2.98-3.17, 8 Mg 2.99-3.16, 2 Zn 3.03
Mn  0.5000  0.0000  0.6615 x2  2 Zn 2.94, 10 Mg 2.98-3.17
Zn  0.0000  0.0000  0.5100 x2  10 Mg 2.92-3.24, 2 Mn 2.94



Nd2Zn2Ge3 after structural relaxation, computed with PBE-GGA.

Properties
Energy relative to the elements, eV per atom: -0.532
Size of the total moment, μB/cell: 0.00

Lattice parameters (Å, degrees): 4.3722 19.8270 6.8725 90.00 90.00 90.00
With the nearest neighbours (Å) after each atom.
Space group Cmcm (No. 63)
Asymmetric unit:
Nd  0.0000  0.0421  0.2500 x4  9 Ge 3.11-3.38
Nd  0.0000  0.1598  0.7500 x4  6 Zn 3.07-3.31, 6 Ge 3.15-3.34
Zn  0.0000  0.3120  0.5531 x8  3 Ge 2.56-2.62, 1 Zn 2.71
Ge  0.0000  0.2125  0.2500 x4  6 Zn 2.62-2.87
Ge  0.0000  0.4345  0.0649 x8  2 Ge 2.54-2.75, 1 Zn 2.56



RbIrS2N after structural relaxation, computed with PBE-GGA.

Properties
Formation energy from raw total energies, eV/atom: 2.7701
Energy relative to the lowest polymorph listed for this composition, eV per formula unit: 13.068
Size of the total moment, μB/cell: 7.22

Lattice parameters (Å, degrees): 5.7366 5.7366 4.9669 90.00 90.00 90.00
With the nearest neighbours (Å) after each atom.
Space group P4/mmm (No. 123)
Asymmetric unit:
Rb  0.0000  0.0000  0.0000 x1  2 N 2.48
Ir  0.5000  0.5000  0.5000 x1  8 S 3.79, 4 N 4.06
S  0.0000  0.5000  0.0000 x2  2 Rb 2.87
N  0.0000  0.0000  0.5000 x1  2 Rb 2.48



The highest size of the total moment belongs to which entry? RbIrS2N



What is the size of the total moment in the sixth record? 7.22 μB/cell



Which formula does entry 6 have? RbIrS2N



The highest size of the total moment belongs to which entry? RbIrS2N